1.
Entry from the Alexandria database: a geometry-optimized ZrTe2Mo structure (PBE).

Results
Its density of states at the Fermi level is 0.522 states/eV/atom. The total energy comes out at -26.9 eV/cell. Its energy above the most stable polymorph in this dataset is 0 meV/atom. For the uncorrected formation energy, the calculation gives -0.32 eV/atom.

Cell: 3.5884 3.5884 7.7293 Å, 90.00 90.00 90.00°
Space group P4mm (No. 99)
Asymmetric unit:
Zr (0.0000, 0.0000, 0.0000) [1 per cell]
Te (0.0000, 0.0000, 0.3866) [1 per cell]
Te (0.5000, 0.5000, 0.8109) [1 per cell]
Mo (0.5000, 0.5000, 0.2044) [1 per cell]

---

2.
Entry from the Alexandria database: a geometry-optimized HfCuReP2 structure (PBE).

Results
Its formation energy from the elements is 0.62 eV per atom. Its density of states at the Fermi level is 0.737 states/eV/atom. The total energy comes out at -34.2 eV/cell. Its energy above the most stable polymorph in this dataset is 0 meV/atom.

Cell: 4.5081 4.5081 4.7174 Å, 90.00 90.00 90.00°
Space group P4/mmm (No. 123)
Asymmetric unit:
Hf (0.0000, 0.0000, 0.0000) [1 per cell]
Cu (0.5000, 0.5000, 0.0000) [1 per cell]
Re (0.5000, 0.5000, 0.5000) [1 per cell]
P (0.0000, 0.5000, 0.5000) [2 per cell]

---

3.
Entry from the Alexandria database: a geometry-optimized Tl12In2Hg5 structure (PBE).

Results
Its formation energy from the elements is 0.02 eV per atom. Its density of states at the Fermi level is 0.449 states/eV/atom. The total energy comes out at -70.0 eV/cell. Its energy above the most stable polymorph in this dataset is 4 meV/atom.

Cell: 14.1177 10.3206 8.7167 Å, 90.00 114.08 90.00°
Space group C2/m (No. 12)
Asymmetric unit:
Tl (0.0498, 0.0000, 0.2258) [4 per cell]
Tl (0.1157, 0.2865, 0.8830) [8 per cell]
Tl (0.1422, 0.5000, 0.5648) [4 per cell]
Tl (0.1755, 0.2818, 0.2959) [8 per cell]
In (0.0000, 0.2264, 0.5000) [4 per cell]
Hg (0.0000, 0.5000, 0.0000) [2 per cell]
Hg (0.1579, 0.0000, 0.6422) [4 per cell]
Hg (0.2071, 0.0000, 0.0319) [4 per cell]

---

4.
Entry from the Alexandria database: a geometry-optimized LuMg2Pd structure (PBE).

Results
Its formation energy from the elements is -0.36 eV per atom. Its density of states at the Fermi level is 0.605 states/eV/atom. The total energy comes out at -14.3 eV/cell.

Cell: 3.3346 3.3346 7.5661 Å, 90.00 90.00 90.00°
Space group P4/mmm (No. 123)
Asymmetric unit:
Lu (0.0000, 0.0000, 0.0000) [1 per cell]
Mg (0.5000, 0.5000, 0.3060) [2 per cell]
Pd (0.0000, 0.0000, 0.5000) [1 per cell]